Entry from Alexandria: a relaxed structure of BaSi2Tc (GGA-PBE).

Calculated values
Formation energy from raw total energies, meV per atom: -164
Distance to the lowest polymorph of the same formula, meV/atom: 105
Magnetic moment, μB/f.u.: 0.0
SG: P4/mmm, No. 123

Unit cell a=3.225 b=3.225 c=7.536 alpha=90.00 beta=90.00 gamma=90.00
Atoms (fractional coordinates):
Ba  0.000  0.000  0.000
Si  0.500  0.500  0.330
Si  0.500  0.500  0.670
Tc  0.000  0.000  0.500